VASP calculation (PBE) on Li3NdSc2S6 after structural relaxation.

Cell: 6.629 6.629 6.517 Å, 99.73 99.73 120.05°
Positions (direct):
Li: 0.170 0.830 0.500
Li: 0.830 0.170 0.500
Li: 0.500 0.500 0.500
Nd: 0.000 0.000 0.000
Sc: 0.333 0.667 0.000
Sc: 0.667 0.333 0.000
S: 0.919 0.564 0.756
S: 0.727 0.727 0.248
S: 0.081 0.436 0.244
S: 0.564 0.919 0.756
S: 0.273 0.273 0.752
S: 0.436 0.081 0.244

Values from the calculation:
Crystal system ... monoclinic
VASP energy ... -5.75 eV per atom

VASP calculation (PBE) on Ti4TlBr8 after structural relaxation.

Cell: 3.421 9.656 12.438 Å, 72.76 82.10 79.80°
Last column: magnetic moment on the atom in μB.
Positions (direct):
Ti: 0.318 0.881 0.484  0.12
Ti: 0.814 0.498 0.875  0.12
Ti: 0.218 0.506 0.059  0.12
Ti: 0.714 0.123 0.449  0.12
Tl: 0.516 0.002 0.967  0.00
Br: 0.175 0.316 0.334  0.00
Br: 0.600 0.657 0.143  0.00
Br: 0.431 0.346 0.791  0.00
Br: 0.857 0.688 0.599  0.00
Br: 0.865 0.950 0.319  0.00
Br: 0.213 0.706 0.868  0.00
Br: 0.166 0.054 0.614  0.00
Br: 0.818 0.297 0.066  0.00

Values from the calculation:
Crystal system ... monoclinic
VASP energy ... -4.61 eV per atom

VASP calculation (PBE) on ScAlNi after structural relaxation.

Cell: 4.222 4.222 3.213 Å, 90.00 90.00 120.00°
Positions (direct):
Sc: 0.333 0.667 0.667
Ni: 0.667 0.333 0.166
Al: 0.000 0.000 0.167

Values from the calculation:
Crystal system ... hexagonal
Formation energy from the elements ... -0.50 eV per atom
VASP energy ... -5.78 eV per atom

VASP calculation (PBE) on SrMg3 after structural relaxation.

Cell: 7.173 7.173 5.399 Å, 90.00 90.00 120.00°
Positions (direct):
Mg: 0.850 0.150 0.250
Mg: 0.150 0.850 0.750
Mg: 0.850 0.700 0.250
Mg: 0.150 0.300 0.750
Mg: 0.300 0.150 0.250
Mg: 0.700 0.850 0.750
Sr: 0.333 0.667 0.250
Sr: 0.667 0.333 0.750

Values from the calculation:
Crystal system ... hexagonal
Formation energy from the elements ... -0.02 eV per atom
VASP energy ... -1.64 eV per atom

VASP calculation (PBE) on LaMg2Cr after structural relaxation.

Cell: 5.671 5.671 5.702 Å, 73.76 73.76 34.17°
Last column: magnetic moment on the atom in μB.
Positions (direct):
Cr: 0.519 0.519 0.514  3.50
La: 0.767 0.767 0.704  -0.15
Mg: 0.985 0.985 0.053  -0.03
Mg: 0.228 0.228 0.230  -0.02

Values from the calculation:
Crystal system ... monoclinic
Formation energy from the elements ... 0.33 eV per atom
VASP energy ... -4.11 eV per atom

VASP calculation (PBE) on HfZr2TaHg after structural relaxation.

Cell: 5.170 4.934 5.170 Å, 90.00 90.00 90.00°
Last column: magnetic moment on the atom in μB.
Positions (direct):
Hf: 0.000 0.000 0.000  0.02
Hg: 0.500 0.500 0.500  0.00
Zr: 0.000 0.000 0.500  0.09
Zr: 0.500 0.000 0.000  0.14
Ta: 0.000 0.500 0.000  0.32

Values from the calculation:
Crystal system ... tetragonal
Formation energy from the elements ... 1.31 eV per atom
VASP energy ... -6.53 eV per atom

VASP calculation (PBE) on KZn2FeGe after structural relaxation.

Cell: 4.809 4.809 4.505 Å, 90.00 90.00 90.00°
Last column: magnetic moment on the atom in μB.
Positions (direct):
K: 0.500 0.500 0.500  0.00
Ge: 0.000 0.000 0.500  -0.02
Zn: 0.000 0.500 0.000  -0.01
Zn: 0.500 0.000 0.000  -0.01
Fe: 0.000 0.000 0.000  0.26

Values from the calculation:
Crystal system ... tetragonal
Formation energy from the elements ... 0.05 eV per atom
VASP energy ... -3.30 eV per atom

VASP calculation (PBE) on CoPt5Rh6 after structural relaxation.

Cell: 3.877 7.259 7.259 Å, 106.61 105.48 105.48°
Last column: magnetic moment on the atom in μB.
Positions (direct):
Rh: 0.246 0.081 0.411  0.27
Rh: 0.754 0.589 0.919  0.27
Rh: 0.741 0.242 0.242  0.30
Rh: 0.259 0.758 0.758  0.30
Rh: 0.246 0.411 0.081  0.27
Rh: 0.754 0.919 0.589  0.27
Co: 0.000 0.000 0.000  2.05
Pt: 0.500 0.163 0.837  0.17
Pt: 0.000 0.336 0.664  0.13
Pt: 0.500 0.500 0.500  0.11
Pt: 0.000 0.664 0.336  0.13
Pt: 0.500 0.837 0.163  0.17

Values from the calculation:
Crystal system ... orthorhombic
Formation energy from the elements ... -0.02 eV per atom
VASP energy ... -6.81 eV per atom

VASP energy of number 7 (KZn2FeGe)?
-3.30 eV per atom

What is the formula in the eighth record?
CoPt5Rh6

VASP energy of number 8 (CoPt5Rh6)?
-6.81 eV per atom